# PBE TlCrSb, optimized geometry
data_TlCrSb
_chemical_formula_sum 'Tl1 Cr1 Sb1'
_cell_length_a 4.784
_cell_length_b 4.784
_cell_length_c 4.784
_cell_angle_alpha 60.00
_cell_angle_beta 60.00
_cell_angle_gamma 60.00
_symmetry_space_group_name_H-M 'P 1'
_symmetry_Int_Tables_number 1
_symmetry_space_group_name_Hall 'P 1'
loop_
_atom_site_label
_atom_site_type_symbol
_atom_site_fract_x
_atom_site_fract_y
_atom_site_fract_z
Cr1 Cr 0.750 0.750 0.750
Sb1 Sb 0.000 0.000 0.000
Tl1 Tl 0.500 0.500 0.500
# relative energy among the computed polymorphs = 0.000 eV/atom

---

# PBE Tl2CrSb, optimized geometry
data_Tl2CrSb
_chemical_formula_sum 'Tl2 Cr1 Sb1'
_cell_length_a 6.000
_cell_length_b 6.000
_cell_length_c 3.351
_cell_angle_alpha 90.00
_cell_angle_beta 90.00
_cell_angle_gamma 118.46
_symmetry_space_group_name_H-M 'P 1'
_symmetry_Int_Tables_number 1
_symmetry_space_group_name_Hall 'P 1'
loop_
_atom_site_label
_atom_site_type_symbol
_atom_site_fract_x
_atom_site_fract_y
_atom_site_fract_z
Cr1 Cr 0.500 0.000 0.500
Sb1 Sb 0.000 0.500 0.500
Tl1 Tl 0.000 0.000 0.000
Tl2 Tl 0.500 0.500 0.000
# relative energy among the computed polymorphs = 0.200 eV/atom

---

# PBE TlCrSb2, optimized geometry
data_TlCrSb2
_chemical_formula_sum 'Tl1 Cr1 Sb2'
_cell_length_a 3.726
_cell_length_b 3.726
_cell_length_c 7.522
_cell_angle_alpha 90.00
_cell_angle_beta 90.00
_cell_angle_gamma 90.00
_symmetry_space_group_name_H-M 'P 1'
_symmetry_Int_Tables_number 1
_symmetry_space_group_name_Hall 'P 1'
loop_
_atom_site_label
_atom_site_type_symbol
_atom_site_fract_x
_atom_site_fract_y
_atom_site_fract_z
Cr1 Cr 0.500 0.500 0.833
Sb1 Sb 0.000 0.000 0.944
Sb2 Sb 0.500 0.500 0.218
Tl1 Tl 0.000 0.000 0.505
# relative energy among the computed polymorphs = 0.187 eV/atom

---

Entry from Alexandria: U5CrSb3 after structural relaxation (PBE).

The structure in CIF format:
```
data_U5CrSb3
_chemical_formula_sum 'U10 Cr2 Sb6'
_cell_length_a 9.159
_cell_length_b 9.159
_cell_length_c 5.902
_cell_angle_alpha 90.00
_cell_angle_beta 90.00
_cell_angle_gamma 120.00
_symmetry_space_group_name_H-M 'P 1'
_symmetry_Int_Tables_number 1
_symmetry_space_group_name_Hall 'P 1'
loop_
_atom_site_label
_atom_site_type_symbol
_atom_site_fract_x
_atom_site_fract_y
_atom_site_fract_z
U1 U 0.333 0.667 0.500
Cr1 Cr 0.000 0.000 0.500
Sb1 Sb 0.610 0.000 0.750
U2 U 0.756 0.756 0.750
U3 U 0.244 0.244 0.250
U4 U 0.667 0.333 0.000
U5 U 0.667 0.333 0.500
U6 U 0.244 0.000 0.750
U7 U 0.333 0.667 0.000
U8 U 0.000 0.244 0.750
Sb2 Sb 0.000 0.610 0.750
Sb3 Sb 0.000 0.390 0.250
U9 U 0.000 0.756 0.250
U10 U 0.756 0.000 0.250
Sb4 Sb 0.610 0.610 0.250
Cr2 Cr 0.000 0.000 0.000
Sb5 Sb 0.390 0.000 0.250
Sb6 Sb 0.390 0.390 0.750
```

---

Entry from Alexandria: VCr2Sb after structural relaxation (PBE).

The structure in CIF format:
```
data_VCr2Sb
_chemical_formula_sum 'V2 Cr4 Sb2'
_cell_length_a 3.837
_cell_length_b 3.837
_cell_length_c 9.230
_cell_angle_alpha 78.00
_cell_angle_beta 78.00
_cell_angle_gamma 90.00
_symmetry_space_group_name_H-M 'P 1'
_symmetry_Int_Tables_number 1
_symmetry_space_group_name_Hall 'P 1'
loop_
_atom_site_label
_atom_site_type_symbol
_atom_site_fract_x
_atom_site_fract_y
_atom_site_fract_z
Cr1 Cr 0.553 0.125 0.250
V1 V 0.500 0.500 0.000
Cr2 Cr 0.375 0.447 0.750
Cr3 Cr 0.197 0.625 0.250
Cr4 Cr 0.875 0.803 0.750
V2 V 0.250 0.750 0.500
Sb1 Sb 0.000 0.000 0.000
Sb2 Sb 0.750 0.250 0.500
```

---

# PBE VCrSb2, optimized geometry
data_VCrSb2
_chemical_formula_sum 'V2 Cr2 Sb4'
_cell_length_a 6.052
_cell_length_b 6.052
_cell_length_c 7.655
_cell_angle_alpha 66.71
_cell_angle_beta 66.71
_cell_angle_gamma 90.00
_symmetry_space_group_name_H-M 'P 1'
_symmetry_Int_Tables_number 1
_symmetry_space_group_name_Hall 'P 1'
loop_
_atom_site_label
_atom_site_type_symbol
_atom_site_fract_x
_atom_site_fract_y
_atom_site_fract_z
Sb1 Sb 0.623 0.125 0.250
Sb2 Sb 0.127 0.625 0.250
V1 V 0.250 0.750 0.500
Sb3 Sb 0.375 0.377 0.750
Sb4 Sb 0.875 0.873 0.750
V2 V 0.500 0.500 0.000
Cr1 Cr 0.000 0.000 0.000
Cr2 Cr 0.750 0.250 0.500
# relative energy among the computed polymorphs = 0.323 eV/atom

---

# PBE V3CrSb, optimized geometry
data_V3CrSb
_chemical_formula_sum 'V3 Cr1 Sb1'
_cell_length_a 4.375
_cell_length_b 4.375
_cell_length_c 4.375
_cell_angle_alpha 90.00
_cell_angle_beta 90.00
_cell_angle_gamma 90.00
_symmetry_space_group_name_H-M 'P 1'
_symmetry_Int_Tables_number 1
_symmetry_space_group_name_Hall 'P 1'
loop_
_atom_site_label
_atom_site_type_symbol
_atom_site_fract_x
_atom_site_fract_y
_atom_site_fract_z
V1 V 0.500 0.000 0.000
V2 V 0.000 0.500 0.000
Cr1 Cr 0.000 0.000 0.000
Sb1 Sb 0.500 0.500 0.500
V3 V 0.000 0.000 0.500
# relative energy among the computed polymorphs = 0.000 eV/atom

---

# PBE VCrSb2, optimized geometry
data_VCrSb2
_chemical_formula_sum 'V1 Cr1 Sb2'
_cell_length_a 3.330
_cell_length_b 3.330
_cell_length_c 9.485
_cell_angle_alpha 79.89
_cell_angle_beta 79.89
_cell_angle_gamma 60.00
_symmetry_space_group_name_H-M 'P 1'
_symmetry_Int_Tables_number 1
_symmetry_space_group_name_Hall 'P 1'
loop_
_atom_site_label
_atom_site_type_symbol
_atom_site_fract_x
_atom_site_fract_y
_atom_site_fract_z
V1 V 0.500 0.500 0.500
Cr1 Cr 0.000 0.000 0.000
Sb1 Sb 0.098 0.098 0.706
Sb2 Sb 0.902 0.902 0.294
# relative energy among the computed polymorphs = 0.162 eV/atom

---

# PBE VCrSb2, optimized geometry
data_VCrSb2
_chemical_formula_sum 'V1 Cr1 Sb2'
_cell_length_a 4.739
_cell_length_b 4.739
_cell_length_c 4.739
_cell_angle_alpha 60.00
_cell_angle_beta 60.00
_cell_angle_gamma 60.00
_symmetry_space_group_name_H-M 'P 1'
_symmetry_Int_Tables_number 1
_symmetry_space_group_name_Hall 'P 1'
loop_
_atom_site_label
_atom_site_type_symbol
_atom_site_fract_x
_atom_site_fract_y
_atom_site_fract_z
Cr1 Cr 0.500 0.500 0.500
Sb1 Sb 0.750 0.750 0.750
V1 V 0.000 0.000 0.000
Sb2 Sb 0.250 0.250 0.250
# relative energy among the computed polymorphs = 0.000 eV/atom

---

Entry from Alexandria: V2CrSb after structural relaxation (PBE).

The structure in CIF format:
```
data_V2CrSb
_chemical_formula_sum 'V2 Cr1 Sb1'
_cell_length_a 4.057
_cell_length_b 3.843
_cell_length_c 3.843
_cell_angle_alpha 90.00
_cell_angle_beta 90.00
_cell_angle_gamma 90.00
_symmetry_space_group_name_H-M 'P 1'
_symmetry_Int_Tables_number 1
_symmetry_space_group_name_Hall 'P 1'
loop_
_atom_site_label
_atom_site_type_symbol
_atom_site_fract_x
_atom_site_fract_y
_atom_site_fract_z
V1 V 0.000 0.000 0.500
V2 V 0.000 0.500 0.000
Cr1 Cr 0.500 0.500 0.500
Sb1 Sb 0.500 0.000 0.000
```

---

# PBE V2Cr2Sb, optimized geometry
data_V2Cr2Sb
_chemical_formula_sum 'V4 Cr4 Sb2'
_cell_length_a 6.879
_cell_length_b 6.879
_cell_length_c 3.098
_cell_angle_alpha 90.00
_cell_angle_beta 90.00
_cell_angle_gamma 90.00
_symmetry_space_group_name_H-M 'P 1'
_symmetry_Int_Tables_number 1
_symmetry_space_group_name_Hall 'P 1'
loop_
_atom_site_label
_atom_site_type_symbol
_atom_site_fract_x
_atom_site_fract_y
_atom_site_fract_z
Sb1 Sb 0.000 0.000 0.000
V1 V 0.309 0.191 0.500
V2 V 0.691 0.809 0.500
V3 V 0.809 0.309 0.500
Cr1 Cr 0.397 0.897 0.000
Sb2 Sb 0.500 0.500 0.000
V4 V 0.191 0.691 0.500
Cr2 Cr 0.603 0.103 0.000
Cr3 Cr 0.103 0.397 0.000
Cr4 Cr 0.897 0.603 0.000
# relative energy among the computed polymorphs = 0.000 eV/atom

---

# PBE V2Cr2Sb, optimized geometry
data_V2Cr2Sb
_chemical_formula_sum 'V2 Cr2 Sb1'
_cell_length_a 3.943
_cell_length_b 3.943
_cell_length_c 5.677
_cell_angle_alpha 69.68
_cell_angle_beta 69.68
_cell_angle_gamma 90.00
_symmetry_space_group_name_H-M 'P 1'
_symmetry_Int_Tables_number 1
_symmetry_space_group_name_Hall 'P 1'
loop_
_atom_site_label
_atom_site_type_symbol
_atom_site_fract_x
_atom_site_fract_y
_atom_site_fract_z
Cr1 Cr 0.389 0.389 0.222
V1 V 0.750 0.250 0.500
Sb1 Sb 0.000 0.000 0.000
Cr2 Cr 0.611 0.611 0.778
V2 V 0.250 0.750 0.500
# relative energy among the computed polymorphs = 0.200 eV/atom

---

no.,ΔE_f (raw) (eV per atom)
1,0.271
2,0.439
3,0.330
4,-0.012
5,0.725
6,0.588
7,0.675
8,0.427
9,0.265
10,0.067
11,0.306
12,0.506